# Cs2NaSI6 | Alexandria via LeMat-Bulk | GGA-PBE | relaxed
# Calculated density   4.1 g cm⁻³
# Formation energy (no corrections)   -0.6962 eV/atom
# M_tot   0.00 μB/atom
data_Cs2NaSI6
_symmetry_space_group_name_H-M 'I 4/m m m'
_symmetry_Int_Tables_number 139
_symmetry_space_group_name_Hall '-I 4 2'
_cell_length_a 8.5337
_cell_length_b 8.5337
_cell_length_c 11.9391
_cell_angle_alpha 90.00
_cell_angle_beta 90.00
_cell_angle_gamma 90.00
loop_
_atom_site_label
_atom_site_type_symbol
_atom_site_fract_x
_atom_site_fract_y
_atom_site_fract_z
Cs1 Cs 0.0000 0.5000 0.2500
Na1 Na 0.0000 0.0000 0.0000
S1 S 0.0000 0.0000 0.5000
I1 I 0.0000 0.0000 0.2700
I2 I 0.2411 0.2411 0.5000